A geometry-optimized LaSnRh3 structure, computed with PBE.

Unit cell a=4.870 b=4.870 c=4.870 alpha=90.00 beta=90.00 gamma=90.00
Space group Pm-3m (No. 221)
Inequivalent atoms, fractional coordinates:
La (0.000, 0.000, 0.000) x1
Sn (0.500, 0.500, 0.500) x1
Rh (0.000, 0.500, 0.500) x3

Results
* relative energy among the computed polymorphs: 0 meV per atom
* energy relative to the elements: 0.1 eV/f.u.

***

A geometry-optimized K2YAuBr6 structure, computed with PBE.

Unit cell a=7.858 b=8.189 c=8.458 alpha=94.54 beta=114.95 gamma=118.54
Space group P1 (No. 1)
Inequivalent atoms, fractional coordinates:
K (0.000, 0.000, 0.000) x1
K (0.066, 0.522, 0.578) x1
Y (0.439, 0.225, 0.648) x1
Au (0.741, 0.964, 0.377) x1
Br (0.293, 0.324, 0.855) x1
Br (0.293, 0.390, 0.389) x1
Br (0.523, 0.104, 0.352) x1
Br (0.525, 0.973, 0.812) x1
Br (0.879, 0.549, 0.854) x1
Br (0.974, 0.845, 0.379) x1

Results
* relative energy among the computed polymorphs: 0 meV per atom
* formation energy without anion corrections: -1.46 eV per atom

***

A geometry-optimized YCo3N structure, computed with PBE.

Unit cell a=3.952 b=3.952 c=3.952 alpha=90.00 beta=90.00 gamma=90.00
Space group Pm-3m (No. 221)
Inequivalent atoms, fractional coordinates:
Y (0.000, 0.000, 0.000) x1
Co (0.000, 0.500, 0.500) x3
N (0.500, 0.500, 0.500) x1

Results
* relative energy among the computed polymorphs: 0 meV per atom
* formation energy without anion corrections: -0.15 eV per atom

***

A geometry-optimized PrHoTh2 structure, computed with PBE.

Unit cell a=8.069 b=8.069 c=8.069 alpha=90.00 beta=90.00 gamma=90.00
Space group Fm-3m (No. 225)
Inequivalent atoms, fractional coordinates:
Pr (0.000, 0.000, 0.000) x4
Ho (0.000, 0.000, 0.500) x4
Th (0.250, 0.250, 0.250) x8

Results
* relative energy among the computed polymorphs: 166 meV per atom
* energy relative to the elements: 0.8 eV/f.u.

***

A geometry-optimized La2Ho7Er3 structure, computed with PBE.

Unit cell a=6.334 b=3.511 c=17.428 alpha=90.00 beta=96.27 gamma=90.00
Space group P2/m (No. 10)
Inequivalent atoms, fractional coordinates:
La (0.060, 0.000, 0.173) x2
Ho (0.000, 0.500, 0.500) x1
Ho (0.229, 0.000, 0.666) x2
Ho (0.257, 0.000, 0.999) x2
Ho (0.277, 0.500, 0.339) x2
Er (0.453, 0.500, 0.843) x2
Er (0.500, 0.000, 0.500) x1

Results
* energy relative to the elements: 1.0 eV/f.u.

***

A geometry-optimized Be2SbRh structure, computed with PBE.

Unit cell a=6.866 b=3.976 c=4.910 alpha=90.00 beta=118.70 gamma=90.00
Space group Cm (No. 8)
Inequivalent atoms, fractional coordinates:
Be (0.000, 0.000, 0.000) x2
Be (0.227, 0.500, 0.176) x2
Sb (0.198, 0.000, 0.584) x2
Rh (0.398, 0.000, 0.191) x2

Results
* formation energy without anion corrections: -0.10 eV per atom

***

no.,D(E_F) (states/eV per cell)
1,0.41
2,0.00
3,1.58
4,29.51
5,18.29
6,4.40